Here is a geometry-optimized Ho4In2B structure from the Alexandria database. Energies are from PBE.

abc: 5.010 5.010 15.216
angles: 90.00 90.00 90.00
Positions (direct):
Ho1 0.000 0.000 0.169
Ho2 0.000 0.000 0.831
Ho3 0.000 0.500 0.000
Ho4 0.000 0.500 0.500
Ho5 0.500 0.000 0.000
Ho6 0.500 0.000 0.500
Ho7 0.500 0.500 0.331
Ho8 0.500 0.500 0.669
In1 0.000 0.000 0.371
In2 0.000 0.000 0.629
In3 0.500 0.500 0.129
In4 0.500 0.500 0.871
B1 0.000 0.000 0.000
B2 0.500 0.500 0.500

## Properties
density = 7.8 Mg/m³
energy of formation from the pure elements = -5.414 kcal/mol of atoms
final energy = -64.218 eV/cell
space-group type = I4/mmm, No. 139

---

Here is a geometry-optimized LaCd2Sb structure from the Alexandria database. Energies are from PBE.

abc: 8.737 8.737 6.282
angles: 90.00 90.00 90.00
Positions (direct):
La1 0.000 0.000 0.000
La2 0.000 0.500 0.250
La3 0.500 0.000 0.750
La4 0.500 0.500 0.500
Cd1 0.215 0.250 0.625
Cd2 0.250 0.715 0.875
Cd3 0.250 0.785 0.375
Cd4 0.285 0.250 0.125
Cd5 0.715 0.750 0.125
Cd6 0.750 0.215 0.375
Cd7 0.750 0.285 0.875
Cd8 0.785 0.750 0.625
Sb1 0.000 0.000 0.500
Sb2 0.000 0.500 0.750
Sb3 0.500 0.000 0.250
Sb4 0.500 0.500 0.000

## Properties
density = 6.7 Mg/m³
E_form (uncorrected) = -32 kJ/mol of atoms
final energy = -48.898 eV/cell
space-group type = I-42d, No. 122

---

Here is a geometry-optimized YAgOs structure from the Alexandria database. Energies are from PBE.

abc: 2.971 4.215 9.292
angles: 90.00 90.00 90.00
Positions (direct):
Y1 0.000 0.000 0.000
Y2 0.500 0.500 0.500
Ag1 0.000 0.000 0.684
Ag2 0.500 0.500 0.184
Os1 0.000 0.000 0.336
Os2 0.500 0.500 0.836

## Properties
density = 11.0 Mg/m³
ΔE to the lowest computed polymorph = 2.6 kJ/mol of atoms
energy of formation from the pure elements = 7.155 kcal/mol of atoms
final energy = -39.228 eV/cell
space-group type = Imm2, No. 44

---

Here is a geometry-optimized Fe2SbBr structure from the Alexandria database. Energies are from PBE.

abc: 3.146 6.056 8.280
angles: 90.00 90.00 90.00
Positions (direct):
Fe1 0.000 0.000 0.244
Fe2 0.000 0.000 0.756
Fe3 0.500 0.500 0.256
Fe4 0.500 0.500 0.744
Sb1 0.000 0.500 0.000
Sb2 0.500 0.000 0.500
Br1 0.000 0.500 0.500
Br2 0.500 0.000 0.000

## Properties
density = 6.6 Mg/m³
E_form (uncorrected) = 66 kJ/mol of atoms
ΔE to the lowest computed polymorph = 59.8 kJ/mol of atoms
final energy = -39.954 eV/cell
space-group type = Immm, No. 71